# FeSeBr

A relaxed structure of FeSeBr (PBE-GGA, Alexandria).

Properties
Calculated total energy (eV per formula unit): -12.60
Space-group type: F-43m

Unit cell a=4.324 b=4.324 c=4.324 alpha=60.00 beta=60.00 gamma=60.00
Sites, in units of the cell vectors:
Fe: 0.000 0.000 0.000
Se: 0.250 0.250 0.250
Br: 0.750 0.750 0.750

=====

# FeSe2Br

A relaxed structure of FeSe2Br (PBE-GGA, Alexandria).

Properties
Energy above the most stable polymorph in this dataset (meV per atom): 178
Calculated total energy (eV per formula unit): -16.96
Space-group type: I-42d

Unit cell a=6.647 b=6.647 c=6.647 alpha=122.12 beta=122.12 gamma=86.36
Sites, in units of the cell vectors:
Fe: 0.000 0.000 0.000
Fe: 0.750 0.250 0.500
Se: 0.017 0.625 0.892
Se: 0.375 0.267 0.392
Se: 0.733 0.125 0.108
Se: 0.875 0.983 0.608
Br: 0.250 0.750 0.500
Br: 0.500 0.500 0.000

=====

# FeSeBr

A relaxed structure of FeSeBr (PBE-GGA, Alexandria).

Properties
Calculated total energy (eV per formula unit): -13.75
Space-group type: Fmm2

Unit cell a=8.179 b=7.447 c=4.112 alpha=84.87 beta=65.08 gamma=30.05
Sites, in units of the cell vectors:
Fe: 0.000 0.000 0.000
Se: 0.387 0.387 0.613
Br: 0.622 0.622 0.378

=====

- Which formula does entry 1 have?
  FeSeBr

=====

- calculated total energy of number 3 (FeSeBr)?
  -13.75 eV per formula unit

=====

- Which value of calculated total energy does entry 3 give?
  -13.75 eV per formula unit

=====

- Number 3 is which compound?
  FeSeBr